Here is a relaxed structure of SnPb2I from the Alexandria database. Energies are from GGA-PBE.

Results
formation energy from raw total energies: -0.0823 eV/atom
energy above the most stable polymorph in this dataset: 1.7 kJ per mole of atoms

abc: 3.837 3.837 8.764
angles: 90.00 90.00 90.00
Space group P4/mmm (No. 123)
Symmetry-distinct sites (fractional):
Sn  0.000  0.000  0.000
Pb  0.500  0.500  0.229
I  0.000  0.000  0.500

Here is a relaxed structure of Sn5Pb3I12 from the Alexandria database. Energies are from GGA-PBE.

Results
formation energy from raw total energies: -0.1818 eV/atom

abc: 19.419 19.419 19.419
angles: 90.00 90.00 90.00
Space group Ia-3d (No. 230)
Symmetry-distinct sites (fractional):
Sn  0.000  0.000  0.000
Sn  0.000  0.250  0.375
Pb  0.000  0.250  0.125
I  0.023  0.072  0.649

Here is a relaxed structure of Sn2PbI from the Alexandria database. Energies are from GGA-PBE.

Results
formation energy from raw total energies: 0.1358 eV/atom
energy above the most stable polymorph in this dataset: 0.0 kJ per mole of atoms

abc: 7.900 7.900 7.900
angles: 90.00 90.00 90.00
Space group Fm-3m (No. 225)
Symmetry-distinct sites (fractional):
Sn  0.250  0.250  0.250
Pb  0.000  0.000  0.000
I  0.000  0.000  0.500

- formation energy from raw total energies of number 3 (Sn2PbI)?
  0.1358 eV/atom

- Among the records above, which one has the highest formation energy from raw total energies?
  Sn2PbI

- Which formula does entry 3 have?
  Sn2PbI